RbTb2Cu3SeS4 | PBE | optimized geometry

Summary:
Final energy ... -4.97 eV/atom

a = 3.989 Å, b = 13.964 Å, c = 16.772 Å
α = 90.00°, β = 90.00°, γ = 90.00°
Space group Cmcm (No. 63)
Inequivalent atoms, fractional coordinates:
Rb (0.000, 0.060, 0.250) [4 per cell]
Tb (0.000, 0.190, 0.590) [8 per cell]
Cu (0.000, 0.351, 0.250) [4 per cell]
Cu (0.000, 0.416, 0.537) [8 per cell]
Se (0.000, 0.245, 0.750) [4 per cell]
S (0.000, 0.167, 0.070) [8 per cell]
S (0.000, 0.440, 0.113) [8 per cell]